DFT (GGA-PBE) results for an optimized crystal structure of KTi.

Output
As for the energy relative to the elements: 1.873 eV per atom. Its total energy is -2.624 eV/atom. Its relative energy among the computed polymorphs is 1.186 eV/atom.

Cell and atoms, written as CIF:
```
data_KTi
_space_group_name_H-M_alt 'P 1'
_space_group_IT_number 1
_cell_length_a 7.130
_cell_length_b 7.130
_cell_length_c 7.130
_cell_angle_alpha 90.00
_cell_angle_beta 90.00
_cell_angle_gamma 90.00
loop_
_space_group_symop_operation_xyz
'x,y,z'
loop_
_atom_site_label
_atom_site_type_symbol
_atom_site_fract_x
_atom_site_fract_y
_atom_site_fract_z
K1 K 0.000 0.000 0.000
K2 K 0.000 0.500 0.500
K3 K 0.500 0.000 0.500
K4 K 0.500 0.500 0.000
Ti1 Ti 0.500 0.500 0.500
Ti2 Ti 0.500 0.000 0.000
Ti3 Ti 0.000 0.500 0.000
Ti4 Ti 0.000 0.000 0.500
```

***

DFT (GGA-PBE) results for an optimized crystal structure of RbCd2In2Bi2.

Output
As for the energy relative to the elements: -0.068 eV per atom. Its total energy is -2.359 eV/atom.

Cell and atoms, written as CIF:
```
data_RbCd2In2Bi2
_space_group_name_H-M_alt 'P 1'
_space_group_IT_number 1
_cell_length_a 5.583
_cell_length_b 5.583
_cell_length_c 9.978
_cell_angle_alpha 73.75
_cell_angle_beta 73.75
_cell_angle_gamma 60.00
loop_
_space_group_symop_operation_xyz
'x,y,z'
loop_
_atom_site_label
_atom_site_type_symbol
_atom_site_fract_x
_atom_site_fract_y
_atom_site_fract_z
Rb1 Rb 0.000 0.000 0.000
Cd1 Cd 0.561 0.561 0.316
Cd2 Cd 0.439 0.439 0.684
In1 In 0.128 0.128 0.615
In2 In 0.872 0.872 0.385
Bi1 Bi 0.763 0.763 0.712
Bi2 Bi 0.237 0.237 0.288
```

***

DFT (GGA-PBE) results for an optimized crystal structure of NaLa3Nd4S8.

Output
The value obtained for the energy relative to the elements, uncorrected is -2.02 eV per atom. Its total energy is -6.281 eV/atom.

Cell and atoms, written as CIF:
```
data_NaLa3Nd4S8
_space_group_name_H-M_alt 'P 1'
_space_group_IT_number 1
_cell_length_a 8.193
_cell_length_b 8.226
_cell_length_c 8.193
_cell_angle_alpha 119.86
_cell_angle_beta 120.00
_cell_angle_gamma 90.00
loop_
_space_group_symop_operation_xyz
'x,y,z'
loop_
_atom_site_label
_atom_site_type_symbol
_atom_site_fract_x
_atom_site_fract_y
_atom_site_fract_z
Na1 Na 0.000 0.500 0.000
La1 La 0.500 0.500 0.000
La2 La 0.500 0.500 0.500
La3 La 0.000 0.500 0.500
Nd1 Nd 0.500 0.000 0.000
Nd2 Nd 0.500 0.000 0.500
Nd3 Nd 0.000 0.000 0.000
Nd4 Nd 0.000 0.000 0.500
S1 S 0.249 0.753 0.003
S2 S 0.250 0.753 0.499
S3 S 0.249 0.245 0.497
S4 S 0.754 0.753 0.003
S5 S 0.246 0.247 0.997
S6 S 0.751 0.755 0.503
S7 S 0.750 0.247 0.501
S8 S 0.751 0.247 0.997
```

***

DFT (GGA-PBE) results for an optimized crystal structure of AgHg2S3.

Output
The value obtained for the energy relative to the elements, uncorrected is -0.01 eV per atom. Its total energy is -2.653 eV/atom.

Cell and atoms, written as CIF:
```
data_AgHg2S3
_space_group_name_H-M_alt 'P 1'
_space_group_IT_number 1
_cell_length_a 6.852
_cell_length_b 7.211
_cell_length_c 7.211
_cell_angle_alpha 120.40
_cell_angle_beta 90.00
_cell_angle_gamma 90.00
loop_
_space_group_symop_operation_xyz
'x,y,z'
loop_
_atom_site_label
_atom_site_type_symbol
_atom_site_fract_x
_atom_site_fract_y
_atom_site_fract_z
Ag1 Ag 0.061 0.839 0.839
Ag2 Ag 0.561 0.161 0.161
Hg1 Hg 0.555 0.833 0.504
Hg2 Hg 0.055 0.496 0.167
Hg3 Hg 0.555 0.504 0.833
Hg4 Hg 0.055 0.167 0.496
S1 S 0.932 0.835 0.510
S2 S 0.432 0.490 0.165
S3 S 0.932 0.510 0.835
S4 S 0.432 0.165 0.490
S5 S 0.422 0.840 0.840
S6 S 0.922 0.160 0.160
```